Density functional theory data (GGA-PBE) for a geometry-optimized BaLiMnBr6 structure.

Cell: 6.9515 6.9515 6.9369 Å, 90.00 90.00 120.00°
Space group P312 (No. 149)
Symmetry-distinct sites (fractional):
Ba  0.0000  0.0000  0.0000
Li  0.3333  0.6667  0.5000
Mn  0.6667  0.3333  0.5000
Br  0.3830  0.0164  0.7157

Values from the calculation:
The calculation puts the density of states at the Fermi level at 0.644 states/eV per atom. Its size of the total moment is 4.00 μB per cell. As for the uncorrected formation energy: -1304 meV per atom.



Density functional theory data (GGA-PBE) for a geometry-optimized ZrNb2Sn2Se6 structure.

Cell: 6.252 11.053 8.459 Å, 90.00 104.44 90.00°
Space group C2/m (No. 12)
Symmetry-distinct sites (fractional):
Zr  0.000  0.000  0.000
Nb  0.000  0.368  0.000
Sn  0.000  0.288  0.500
Se  0.100  0.500  0.774
Se  0.107  0.176  0.814

Values from the calculation:
The calculation puts the density of states at the Fermi level at 0.499 states/eV per atom. Its size of the total moment is 0.00 μB per cell. As for the uncorrected formation energy: -745 meV per atom.



Density functional theory data (GGA-PBE) for a geometry-optimized Ac6In2RuN structure.

Cell: 7.917 11.050 7.943 Å, 90.00 90.00 90.00°
Space group Pmmn (No. 59, origin choice 2)
Symmetry-distinct sites (fractional):
Ac  0.002  0.250  0.019
Ac  0.011  0.250  0.507
Ac  0.250  0.012  0.262
In  0.250  0.502  0.743
Ru  0.250  0.750  0.252
N  0.250  0.250  0.218

Values from the calculation:
The calculation puts the density of states at the Fermi level at 0.645 states/eV per atom. Its size of the total moment is 0.00 μB per cell. As for the uncorrected formation energy: -364 meV per atom.



Density functional theory data (GGA-PBE) for a geometry-optimized Ga3NiIr structure.

Cell: 9.287 5.269 13.010 Å, 90.00 108.96 90.00°
Space group C2/c (No. 15)
Symmetry-distinct sites (fractional):
Ga  0.010  0.250  0.057
Ga  0.210  0.008  0.839
Ga  0.213  0.497  0.343
Ni  0.000  0.251  0.250
Ni  0.250  0.250  0.000
Ir  0.044  0.255  0.648

Values from the calculation:
The calculation puts the density of states at the Fermi level at 0.363 states/eV per atom. Its size of the total moment is 0.00 μB per cell. As for the energy relative to the elements: -224 meV per atom. The energy above the most stable polymorph in this dataset comes out at 134 meV per atom.